Density functional theory data (meta-GGA SCAN) for a PBEsol-optimized structure of TeOs2Se.

The structure in CIF format:
```
data_TeOs2Se
_cell_length_a 5.342
_cell_length_b 5.342
_cell_length_c 3.139
_cell_angle_alpha 105.73
_cell_angle_beta 105.73
_cell_angle_gamma 117.13
_symmetry_space_group_name_H-M 'P 1'
_symmetry_Int_Tables_number 1
loop_
_symmetry_equiv_pos_as_xyz
'x,y,z'
loop_
_atom_site_label
_atom_site_type_symbol
_atom_site_fract_x
_atom_site_fract_y
_atom_site_fract_z
_atom_site_occupancy
Te1 Te 0.000 0.000 0.000 1
Os1 Os 0.000 0.500 0.500 1
Os2 Os 0.500 0.000 0.500 1
Se1 Se 0.500 0.500 0.000 1
```

Results
distance to the lowest polymorph of the same formula = 450.1 meV per atom
SG = C2/m, No. 12
calculated volume = 17.0 Å³/atom
E_form (uncorrected) = 1240 meV per atom